1.
# LiScNiIr2 PBE relaxed
data_LiScNiIr2
_space_group_name_H-M_alt 'P 1'
_space_group_IT_number 1
_cell_length_a 4.576
_cell_length_b 4.503
_cell_length_c 4.576
_cell_angle_alpha 90.00
_cell_angle_beta 90.00
_cell_angle_gamma 90.00
loop_
_space_group_symop_operation_xyz
'x,y,z'
loop_
_atom_site_label
_atom_site_fract_x
_atom_site_fract_y
_atom_site_fract_z
Sc1 0.000 0.500 0.000
Ni1 0.000 0.000 0.000
Ir1 0.000 0.000 0.500
Ir2 0.500 0.000 0.000
Li1 0.500 0.500 0.500
# SG: No. 123
# Electronic total energy in eV per atom: -5.84

---

2.
# KAlMoN2 PBE relaxed
data_KAlMoN2
_space_group_name_H-M_alt 'P 1'
_space_group_IT_number 1
_cell_length_a 4.065
_cell_length_b 4.929
_cell_length_c 4.065
_cell_angle_alpha 90.00
_cell_angle_beta 90.00
_cell_angle_gamma 90.00
loop_
_space_group_symop_operation_xyz
'x,y,z'
loop_
_atom_site_label
_atom_site_fract_x
_atom_site_fract_y
_atom_site_fract_z
Mo1 0.000 0.500 0.000
N1 0.000 0.000 0.500
N2 0.500 0.000 0.000
K1 0.500 0.500 0.500
Al1 0.000 0.000 0.000
# Formation energy without anion corrections in kJ/mol of formula units: 791
# SG: No. 123
# Electronic total energy in eV per atom: -4.83

---

3.
# RbH5 PBE relaxed
data_RbH5
_space_group_name_H-M_alt 'P 1'
_space_group_IT_number 1
_cell_length_a 5.224
_cell_length_b 4.686
_cell_length_c 6.155
_cell_angle_alpha 129.21
_cell_angle_beta 90.00
_cell_angle_gamma 123.88
loop_
_space_group_symop_operation_xyz
'x,y,z'
loop_
_atom_site_label
_atom_site_fract_x
_atom_site_fract_y
_atom_site_fract_z
Rb1 0.306 0.611 0.111
H1 0.776 0.551 0.856
H2 0.306 0.611 0.611
H3 0.836 0.671 0.366
H4 0.645 0.289 0.796
H5 0.967 0.933 0.426
# SG: No. 12
# Electronic total energy in eV per atom: -2.97

---

4.
# BeZn3P PBE relaxed
data_BeZn3P
_space_group_name_H-M_alt 'P 1'
_space_group_IT_number 1
_cell_length_a 4.320
_cell_length_b 4.320
_cell_length_c 4.320
_cell_angle_alpha 90.00
_cell_angle_beta 90.00
_cell_angle_gamma 90.00
loop_
_space_group_symop_operation_xyz
'x,y,z'
loop_
_atom_site_label
_atom_site_fract_x
_atom_site_fract_y
_atom_site_fract_z
P1 0.500 0.500 0.500
Zn1 0.000 0.500 0.000
Zn2 0.000 0.000 0.500
Zn3 0.500 0.000 0.000
Be1 0.000 0.000 0.000
# SG: No. 221
# Electronic total energy in eV per atom: -2.02